Record 1
LaZnAs2 | the Alexandria database | PBE | relaxed; mass density = 5657 kg/m3; DOS at the Fermi energy = 1.6 states/eV per cell; E_tot = -4.50 eV per atom; calculated formation energy = -0.627 eV per atom
1.0
-1.576 3.109 5.094
-3.443 -0.690 5.077
2.775 -1.378 3.161
As La Zn
2 1 1
Direct
0.992 0.992 0.181
0.784 0.784 0.690
0.511 0.511 0.657
0.213 0.213 0.972


Record 2
CaCd2Fe | the Alexandria database | PBE | relaxed; mass density = 6200 kg/m3; DOS at the Fermi energy = 3.8 states/eV per cell; E_tot = -2.95 eV per atom; calculated formation energy = 0.126 eV per atom
1.0
-2.853 0.840 2.052
0.596 -2.595 1.891
4.863 1.476 6.157
Fe Ca Cd
1 1 2
Direct
0.500 0.250 0.250
0.500 0.750 0.750
0.000 0.953 0.047
0.000 0.547 0.453


Record 3
PbSeBr2F | the Alexandria database | PBE | relaxed; mass density = 4758 kg/m3; DOS at the Fermi energy = 3.1 states/eV per cell; E_tot = -2.68 eV per atom; energy above the lowest structure with this stoichiometry = 0 meV/atom
1.0
6.292 0.000 0.000
0.000 6.292 0.000
0.000 0.000 4.099
Pb Se Br F
1 1 2 1
Direct
0.500 0.500 0.500
0.000 0.000 0.500
0.000 0.500 0.000
0.500 0.000 0.000
0.000 0.000 0.000


Record 4
Ba4Ca2Au | the Alexandria database | PBE | relaxed; mass density = 3373 kg/m3; DOS at the Fermi energy = 8.8 states/eV per cell; E_tot = -2.19 eV per atom; calculated formation energy = -0.056 eV per atom
1.0
-3.902 -3.122 3.855
2.644 -5.459 -1.745
7.422 5.158 6.525
Ca Au Ba
2 1 4
Direct
0.633 0.633 0.267
0.367 0.367 0.733
0.000 0.000 0.000
0.500 0.000 0.000
0.835 0.835 0.671
0.000 0.500 0.000
0.165 0.165 0.329


> Look up the mass density of the first one.

5657 kg/m3


> Look up the E_tot of the third one.

-2.68 eV per atom